1.
{
  "formula": "CaGa2Bi2",
  "functional": "PBE",
  "state": "relaxed",
  "e_above_lowest_polymorph_mev_per_atom": 103,
  "dos_at_fermi_per_ev_cell": 6.37,
  "space_group": "No. 127",
  "vol_a3_per_fu": 142.0,
  "cell": [[-0.960, -0.089, -8.302], [6.086, -5.693, -0.643], [-2.746, -2.976, 0.349]],
  "species": ["Ca", "Ca", "Bi", "Bi", "Bi", "Bi", "Ga", "Ga", "Ga", "Ga"],
  "frac_coords": [[0.000, 0.000, 0.000], [0.500, 0.500, 0.000], [0.361, 0.861, 0.000], [0.861, 0.639, 0.000], [0.639, 0.139, 0.000], [0.139, 0.361, 0.000], [0.152, 0.652, 0.500], [0.652, 0.848, 0.500], [0.848, 0.348, 0.500], [0.348, 0.152, 0.500]]
}


2.
{
  "formula": "CaGaBi",
  "functional": "PBE",
  "state": "relaxed",
  "e_above_lowest_polymorph_mev_per_atom": 0,
  "dos_at_fermi_per_ev_cell": 0.31,
  "space_group": "No. 156",
  "vol_a3_per_fu": 87.3,
  "cell": [[4.939, 0.000, 0.000], [0.000, 4.517, 0.000], [0.000, -2.258, 3.912]],
  "species": ["Ca", "Bi", "Ga"],
  "frac_coords": [[0.698, 0.667, 0.333], [0.281, 0.333, 0.667], [0.022, 0.000, 0.000]]
}


3.
{
  "formula": "Ca6Ga2Bi",
  "functional": "PBE",
  "state": "relaxed",
  "e_tot_ev_per_cell": -52.0,
  "dos_at_fermi_per_ev_cell": 14.71,
  "space_group": "No. 71",
  "vol_a3_per_fu": 286.5,
  "cell": [[1.968, -3.339, -8.218], [-3.182, -6.223, 5.806], [-6.683, 6.136, -0.497]],
  "species": ["Ca", "Ca", "Ca", "Ca", "Ca", "Ca", "Ca", "Ca", "Ca", "Ca", "Ca", "Ca", "Ga", "Ga", "Ga", "Ga", "Bi", "Bi"],
  "frac_coords": [[0.541, 0.725, 0.816], [0.459, 0.275, 0.184], [0.091, 0.275, 0.816], [0.909, 0.725, 0.184], [0.793, 0.759, 0.552], [0.207, 0.241, 0.448], [0.207, 0.759, 0.966], [0.793, 0.241, 0.034], [0.692, 0.363, 0.670], [0.308, 0.637, 0.330], [0.308, 0.978, 0.670], [0.692, 0.022, 0.330], [0.500, 0.386, 0.886], [0.500, 0.614, 0.114], [0.652, 0.000, 0.652], [0.348, 0.000, 0.348], [0.000, 0.500, 0.500], [0.000, 0.000, 0.000]]
}


4.
{
  "formula": "CaGa2Bi2",
  "functional": "PBE",
  "state": "relaxed",
  "e_above_lowest_polymorph_mev_per_atom": 21,
  "dos_at_fermi_per_ev_cell": 2.90,
  "space_group": "No. 139",
  "vol_a3_per_fu": 141.4,
  "cell": [[5.551, 0.000, 0.000], [0.000, 5.551, 0.000], [2.775, 2.775, 4.590]],
  "species": ["Ca", "Bi", "Bi", "Ga", "Ga"],
  "frac_coords": [[0.000, 0.000, 0.000], [0.750, 0.250, 0.500], [0.250, 0.750, 0.500], [0.364, 0.364, 0.273], [0.636, 0.636, 0.727]]
}


5.
{
  "formula": "CaGa2Bi2",
  "functional": "PBE",
  "state": "relaxed",
  "e_above_lowest_polymorph_mev_per_atom": 29,
  "dos_at_fermi_per_ev_cell": 2.79,
  "space_group": "No. 139",
  "vol_a3_per_fu": 144.8,
  "cell": [[4.280, 0.000, 0.000], [0.000, 4.280, 0.000], [2.140, 2.140, 7.906]],
  "species": ["Ca", "Bi", "Bi", "Ga", "Ga"],
  "frac_coords": [[0.000, 0.000, 0.000], [0.398, 0.398, 0.204], [0.602, 0.602, 0.796], [0.750, 0.250, 0.500], [0.250, 0.750, 0.500]]
}


6.
{
  "formula": "CaGaBi",
  "functional": "PBE",
  "state": "relaxed",
  "e_above_lowest_polymorph_mev_per_atom": 101,
  "dos_at_fermi_per_ev_cell": 1.13,
  "space_group": "No. 107",
  "vol_a3_per_fu": 88.8,
  "cell": [[4.434, 0.000, 0.000], [0.000, 4.434, 0.000], [-2.217, -2.217, 4.516]],
  "species": ["Ca", "Bi", "Ga"],
  "frac_coords": [[0.608, 0.608, 0.215], [0.963, 0.963, 0.925], [0.280, 0.280, 0.559]]
}


7.
{
  "formula": "CaGa3Bi3",
  "functional": "PBE",
  "state": "relaxed",
  "e_tot_ev_per_cell": -43.6,
  "dos_at_fermi_per_ev_cell": 5.43,
  "space_group": "No. 223",
  "vol_a3_per_fu": 249.1,
  "cell": [[-2.686, -6.288, -4.012], [-3.697, -2.582, 6.521], [-6.478, 4.080, -2.057]],
  "species": ["Ca", "Ca", "Bi", "Bi", "Bi", "Bi", "Bi", "Bi", "Ga", "Ga", "Ga", "Ga", "Ga", "Ga"],
  "frac_coords": [[0.500, 0.500, 0.500], [0.000, 0.000, 0.000], [0.000, 0.250, 0.500], [0.000, 0.750, 0.500], [0.500, 0.000, 0.750], [0.750, 0.500, 0.000], [0.500, 0.000, 0.250], [0.250, 0.500, 0.000], [0.250, 0.000, 0.500], [0.000, 0.500, 0.250], [0.500, 0.750, 0.000], [0.750, 0.000, 0.500], [0.000, 0.500, 0.750], [0.500, 0.250, 0.000]]
}


8.
{
  "formula": "CaGaBi3",
  "functional": "PBE",
  "state": "relaxed",
  "e_above_lowest_polymorph_mev_per_atom": 385,
  "dos_at_fermi_per_ev_cell": 3.40,
  "space_group": "No. 221",
  "vol_a3_per_fu": 201.1,
  "cell": [[-5.558, 0.196, -1.841], [-1.755, -2.419, 5.039], [-0.592, 5.332, 2.354]],
  "species": ["Ca", "Bi", "Bi", "Bi", "Ga"],
  "frac_coords": [[0.000, 0.000, 0.000], [0.000, 0.500, 0.000], [0.000, 0.000, 0.500], [0.500, 0.000, 0.000], [0.500, 0.500, 0.500]]
}


9.
{
  "formula": "CaGaBi3",
  "functional": "PBE",
  "state": "relaxed",
  "e_above_lowest_polymorph_mev_per_atom": 0,
  "dos_at_fermi_per_ev_cell": 5.10,
  "space_group": "No. 221",
  "vol_a3_per_fu": 171.0,
  "cell": [[5.551, 0.000, 0.000], [0.000, 5.551, 0.000], [0.000, 0.000, 5.551]],
  "species": ["Ca", "Bi", "Bi", "Bi", "Ga"],
  "frac_coords": [[0.500, 0.500, 0.500], [0.000, 0.500, 0.000], [0.000, 0.000, 0.500], [0.500, 0.000, 0.000], [0.000, 0.000, 0.000]]
}


10.
{
  "formula": "CaGaBi",
  "functional": "PBE",
  "state": "relaxed",
  "e_above_lowest_polymorph_mev_per_atom": 11,
  "dos_at_fermi_per_ev_cell": 2.43,
  "space_group": "No. 12",
  "vol_a3_per_fu": 84.9,
  "cell": [[-2.927, 2.365, 2.421], [-5.576, -3.140, 0.462], [2.003, -0.162, 6.717]],
  "species": ["Ca", "Ca", "Ga", "Ga", "Bi", "Bi"],
  "frac_coords": [[0.245, 0.308, 0.203], [0.755, 0.692, 0.797], [0.554, 0.311, 0.582], [0.446, 0.689, 0.418], [0.963, 0.871, 0.203], [0.037, 0.129, 0.797]]
}


11.
{
  "formula": "Ca2GaBi4",
  "functional": "PBE",
  "state": "relaxed",
  "e_tot_ev_per_cell": -25.5,
  "dos_at_fermi_per_ev_cell": 2.96,
  "space_group": "No. 12",
  "vol_a3_per_fu": 221.7,
  "cell": [[-3.259, 3.438, 4.784], [-5.865, -2.348, -2.328], [4.932, -4.394, 1.767]],
  "species": ["Ca", "Ca", "Bi", "Bi", "Bi", "Bi", "Ga"],
  "frac_coords": [[0.286, 0.786, 0.571], [0.786, 0.286, 0.571], [0.786, 0.786, 0.072], [0.286, 0.286, 0.071], [0.786, 0.286, 0.071], [0.286, 0.786, 0.071], [0.786, 0.786, 0.572]]
}


12.
{
  "formula": "CaGa2Bi2",
  "functional": "PBE",
  "state": "relaxed",
  "e_above_lowest_polymorph_mev_per_atom": 0,
  "dos_at_fermi_per_ev_cell": 5.63,
  "space_group": "No. 127",
  "vol_a3_per_fu": 133.7,
  "cell": [[-4.175, -4.828, -5.072], [5.470, -5.935, 1.147], [-2.158, -1.390, 3.099]],
  "species": ["Ca", "Ca", "Bi", "Bi", "Bi", "Bi", "Ga", "Ga", "Ga", "Ga"],
  "frac_coords": [[0.000, 0.000, 0.000], [0.500, 0.500, 0.000], [0.171, 0.671, 0.500], [0.671, 0.829, 0.500], [0.829, 0.329, 0.500], [0.329, 0.171, 0.500], [0.381, 0.881, 0.000], [0.881, 0.619, 0.000], [0.619, 0.119, 0.000], [0.119, 0.381, 0.000]]
}